! Hf3N4, relaxed, DFT PBE; values from VASP
! mass density	8.56	Mg/m³
! space group	P6_3/m
! DFT total energy	-10.565	eV per atom
! magnetization	0.001	μB per cell
! E above lowest polymorph	0.140	eV/atom
&SYSTEM
  ibrav = 0, nat = 14, ntyp = 2
/
ATOMIC_SPECIES
Hf 178.49 Hf.upf
N 14.01 N.upf
CELL_PARAMETERS angstrom
-3.322 -1.474 7.816
8.032 -2.546 -1.820
1.251 3.142 1.124
ATOMIC_POSITIONS crystal
Hf 0.264 0.407 0.250
Hf 0.143 0.736 0.250
Hf 0.593 0.857 0.250
Hf 0.407 0.143 0.750
Hf 0.857 0.264 0.750
Hf 0.736 0.593 0.750
N 0.325 0.004 0.250
N 0.996 0.321 0.250
N 0.333 0.667 0.250
N 0.679 0.675 0.250
N 0.321 0.325 0.750
N 0.667 0.333 0.750
N 0.004 0.679 0.750
N 0.675 0.996 0.750